LiPbO2F | PBEsol | optimized geometry

The structure belongs to space group P4/mmm (No. 123); the cell edges are 4.164, 4.164 and 4.429 Å and the angles 90.00°, 90.00° and 90.00°. The asymmetric unit holds Li at (0.000, 0.000, 0.000), Pb at (0.500, 0.500, 0.500), O at (0.000, 0.500, 0.500) and F at (0.500, 0.500, 0.000).

Its density is 5732 kg/m³. Its uncorrected formation energy is -5.924 eV/f.u. Its crystal system is tetragonal. For the density of states at the Fermi level, the calculation gives 0.276 states/eV per atom. The total energy is -0.3574 Ry per atom.